Entry 1:
This record from the Alexandria database describes a relaxed structure of ZrPRh2. The functional is PBE.

Results
formation enthalpy at 0 K	-0.7937	eV/atom

a b c (Å): 4.981 4.981 4.787
angles (deg): 63.30 63.30 37.73
Positions (direct):
Zr 0.538 0.538 0.505
P 0.266 0.266 0.122
Rh 0.950 0.950 0.085
Rh 0.745 0.745 0.788

Entry 2:
This record from the Alexandria database describes a relaxed structure of AcErS2. The functional is PBE.

Results
raw formation energy	-1.9094	eV/atom

a b c (Å): 3.976 3.976 7.562
angles (deg): 74.76 74.76 60.00
Positions (direct):
Ac 0.495 0.495 0.514
Er 0.672 0.672 0.985
S 0.071 0.071 0.787
S 0.262 0.262 0.214

Entry 3:
This record from the Alexandria database describes a relaxed structure of Ho3Ga2Ge2. The functional is PBE.

Results
formation enthalpy at 0 K	-0.7225	eV/atom

a b c (Å): 4.242 5.736 7.345
angles (deg): 110.69 90.00 111.70
Positions (direct):
Ho 0.326 0.651 0.372
Ho 0.674 0.349 0.628
Ho 0.500 0.000 0.000
Ga 0.809 0.618 0.072
Ga 0.191 0.382 0.928
Ge 0.959 0.918 0.661
Ge 0.041 0.082 0.339

Entry 4:
This record from the Alexandria database describes a relaxed structure of BaLaZr2. The functional is PBE.

Results
formation enthalpy at 0 K	0.4743	eV/atom

a b c (Å): 11.714 11.714 11.714
angles (deg): 17.16 17.16 17.16
Positions (direct):
Ba 0.250 0.250 0.250
La 0.750 0.750 0.750
Zr 0.007 0.007 0.007
Zr 0.493 0.493 0.493

Entry 5:
This record from the Alexandria database describes a relaxed structure of TaFeSb2. The functional is PBE.

Results
raw formation energy	0.3083	eV/atom

a b c (Å): 4.676 4.676 3.409
angles (deg): 90.00 90.00 90.00
Positions (direct):
Fe 0.000 0.500 0.500
Sb 0.000 0.000 0.000
Sb 0.500 0.500 0.000
Ta 0.500 0.000 0.500

Entry 6:
This record from the Alexandria database describes a relaxed structure of Rb4Th3TlTe8. The functional is PBE.

Results
raw formation energy	-1.1170	eV/atom

a b c (Å): 9.439 10.073 9.439
angles (deg): 117.95 120.00 90.00
Positions (direct):
Rb 0.500 0.000 0.000
Rb 0.500 0.000 0.500
Rb 0.000 0.000 0.000
Rb 0.000 0.000 0.500
Th 0.500 0.500 0.000
Th 0.500 0.500 0.500
Th 0.000 0.500 0.500
Tl 0.000 0.500 0.000
Te 0.245 0.704 0.959
Te 0.245 0.704 0.490
Te 0.265 0.295 0.530
Te 0.714 0.704 0.959
Te 0.286 0.296 0.041
Te 0.735 0.705 0.470
Te 0.755 0.296 0.510
Te 0.755 0.296 0.041

Entry 7:
This record from the Alexandria database describes a relaxed structure of Er3Ga3Ni2. The functional is PBE.

Results
formation enthalpy at 0 K	-0.6116	eV/atom

a b c (Å): 5.429 7.831 14.492
angles (deg): 90.00 90.00 90.00
Positions (direct):
Er 0.122 0.459 0.391
Er 0.622 0.041 0.609
Er 0.878 0.541 0.891
Er 0.378 0.959 0.109
Er 0.878 0.541 0.609
Er 0.378 0.959 0.391
Er 0.122 0.459 0.109
Er 0.622 0.041 0.891
Er 0.629 0.314 0.250
Er 0.129 0.186 0.750
Er 0.371 0.686 0.750
Er 0.871 0.814 0.250
Ga 0.117 0.163 0.250
Ga 0.617 0.337 0.750
Ga 0.883 0.837 0.750
Ga 0.383 0.663 0.250
Ga 0.616 0.313 0.462
Ga 0.116 0.187 0.538
Ga 0.384 0.687 0.962
Ga 0.884 0.813 0.038
Ga 0.384 0.687 0.538
Ga 0.884 0.813 0.462
Ga 0.616 0.313 0.038
Ga 0.116 0.187 0.962
Ni 0.878 0.097 0.395
Ni 0.378 0.403 0.605
Ni 0.122 0.903 0.895
Ni 0.622 0.597 0.105
Ni 0.122 0.903 0.605
Ni 0.622 0.597 0.395
Ni 0.878 0.097 0.105
Ni 0.378 0.403 0.895

Entry 8:
This record from the Alexandria database describes a relaxed structure of Ca2SnPt2. The functional is PBE.

Results
formation enthalpy at 0 K	-0.3800	eV/atom

a b c (Å): 4.565 4.565 6.838
angles (deg): 70.50 70.50 90.00
Positions (direct):
Ca 0.750 0.250 0.500
Ca 0.250 0.750 0.500
Sn 0.000 0.000 0.000
Pt 0.393 0.393 0.214
Pt 0.607 0.607 0.786

Entry 9:
This record from the Alexandria database describes a relaxed structure of Sr2Mo. The functional is PBE.

Results
formation enthalpy at 0 K	1.0354	eV/atom

a b c (Å): 17.202 17.202 17.202
angles (deg): 168.90 168.90 15.72
Positions (direct):
Sr 0.568 0.568 0.000
Sr 0.182 0.682 0.500
Sr 0.432 0.432 0.000
Sr 0.318 0.818 0.500
Mo 0.000 0.000 0.000
Mo 0.750 0.250 0.500

Entry 10:
This record from the Alexandria database describes a relaxed structure of BaSiMo2. The functional is PBE.

Results
raw formation energy	1.1101	eV/atom

a b c (Å): 5.667 5.738 2.938
angles (deg): 74.04 92.21 120.25
Positions (direct):
Ba 0.500 0.500 0.000
Mo 0.000 0.000 0.000
Mo 0.500 0.000 0.500
Si 0.000 0.500 0.500

Entry 11:
This record from the Alexandria database describes a relaxed structure of KBe2CS. The functional is PBE.

Results
raw formation energy	3.0314	eV/atom

a b c (Å): 6.758 5.989 6.758
angles (deg): 90.00 90.00 90.00
Positions (direct):
C 0.500 0.500 0.500
Be 0.000 0.000 0.500
Be 0.500 0.000 0.000
K 0.000 0.000 0.000
S 0.000 0.500 0.000

Entry 12:
This record from the Alexandria database describes a relaxed structure of SrTe6. The functional is PBE.

Results
raw formation energy	0.2528	eV/atom

a b c (Å): 7.513 7.513 7.513
angles (deg): 109.47 109.47 109.47
Positions (direct):
Sr 0.000 0.000 0.000
Te 0.250 0.750 0.500
Te 0.500 0.750 0.250
Te 0.250 0.500 0.750
Te 0.750 0.250 0.500
Te 0.500 0.250 0.750
Te 0.750 0.500 0.250

Result set for total DFT energy (no corrections): -7.959 -6.141 -4.868 -5.512 -6.832 -4.469 -4.903 -4.397 -3.696 -6.142 -1.349 -2.680 eV per atom, one per record in the order listed.
Result set for magnetization: 0.0 0.0 0.0 0.0 1.6 0.0 0.0 0.0 0.0 0.0 3.4 0.0 μB per cell, one per record in the order listed.